{
  "formula": "Cd2In2Te",
  "functional": "PBE",
  "state": "optimized geometry",
  "dos_ef_per_ev_cell": 2.93,
  "e_form_raw_mev_per_atom": 72,
  "dft_energy_ev_per_cell": -10.09,
  "polymorph_energy_mev_per_atom": 75.6,
  "cell": [[-3.0991, -0.4499, 3.1438], [3.1194, -1.2558, 2.8953], [0.9651, 5.9264, 4.9311]],
  "species": ["Cd", "Cd", "Te", "In", "In"],
  "fractional_positions": [[0.4024, 0.4024, 0.1953], [0.5976, 0.5976, 0.8047], [0.0000, 0.0000, 0.0000], [0.7500, 0.2500, 0.5000], [0.2500, 0.7500, 0.5000]]
}

{
  "formula": "NdThSe2O",
  "functional": "PBE",
  "state": "optimized geometry",
  "dos_ef_per_ev_cell": 2.81,
  "e_form_raw_mev_per_atom": -2282,
  "dft_energy_ev_per_cell": -71.05,
  "cell": [[4.1429, 0.0000, 0.0000], [0.0000, 4.1429, 0.0000], [0.0000, 0.0000, 14.3538]],
  "species": ["Nd", "Nd", "Th", "Th", "Se", "Se", "Se", "Se", "O", "O"],
  "fractional_positions": [[0.5000, 0.0000, 0.5800], [0.0000, 0.5000, 0.4200], [0.5000, 0.0000, 0.1112], [0.0000, 0.5000, 0.8888], [0.0000, 0.5000, 0.6959], [0.0000, 0.5000, 0.1098], [0.5000, 0.0000, 0.8902], [0.5000, 0.0000, 0.3041], [0.0000, 0.0000, 0.5000], [0.5000, 0.5000, 0.5000]]
}

{
  "formula": "OsPdRh2",
  "functional": "PBE",
  "state": "optimized geometry",
  "dos_ef_per_ev_cell": 3.51,
  "dft_energy_ev_per_cell": -31.05,
  "polymorph_energy_mev_per_atom": 3.9,
  "formation_energy_ev_per_atom": 0.02,
  "cell": [[-0.9681, -0.9685, -2.3601], [1.4473, -1.8242, -1.4224], [-3.9171, -7.6050, 3.1502]],
  "species": ["Rh", "Rh", "Os", "Pd"],
  "fractional_positions": [[0.7471, 0.7471, 0.7588], [0.2529, 0.2529, 0.2412], [0.0000, 0.0000, 0.0000], [0.5000, 0.5000, 0.5000]]
}

{
  "formula": "Tl5SnSe6",
  "functional": "PBE",
  "state": "optimized geometry",
  "dos_ef_per_ev_cell": 4.81,
  "e_form_raw_mev_per_atom": -308,
  "dft_energy_ev_per_cell": -40.44,
  "cell": [[-0.7712, 6.5260, -4.0689], [2.9503, -1.1702, -6.5728], [-4.1806, -2.6114, -5.4643]],
  "species": ["Tl", "Tl", "Tl", "Tl", "Tl", "Sn", "Se", "Se", "Se", "Se", "Se", "Se"],
  "fractional_positions": [[0.5000, 0.1706, 0.6588], [0.0000, 0.3354, 0.3292], [0.5000, 0.5000, 0.0000], [0.0000, 0.6646, 0.6708], [0.5000, 0.8294, 0.3412], [0.0000, 0.0000, 0.0000], [0.7845, 0.0727, 0.3128], [0.2155, 0.6146, 0.3128], [0.2271, 0.2359, 0.0000], [0.7729, 0.7641, 0.0000], [0.7845, 0.3854, 0.6872], [0.2155, 0.9273, 0.6872]]
}

{
  "formula": "BeCr2Fe",
  "functional": "PBE",
  "state": "optimized geometry",
  "dos_ef_per_ev_cell": 1.97,
  "dft_energy_ev_per_cell": -31.40,
  "formation_energy_ev_per_atom": 0.01,
  "cell": [[2.8410, 0.0000, 0.0000], [0.0000, 2.8408, 0.0000], [0.0000, 0.0000, 5.2550]],
  "species": ["Cr", "Cr", "Fe", "Be"],
  "fractional_positions": [[0.0000, 0.0000, 0.9915], [0.5000, 0.5000, 0.2463], [0.0000, 0.0000, 0.5198], [0.5000, 0.5000, 0.7424]]
}

{
  "formula": "Fe2AsPd8",
  "functional": "PBE",
  "state": "optimized geometry",
  "dos_ef_per_ev_cell": 7.29,
  "dft_energy_ev_per_cell": -64.69,
  "formation_energy_ev_per_atom": -0.14,
  "cell": [[4.0658, 0.0000, 0.0000], [0.0000, 5.9574, 0.4336], [-2.0329, -2.0310, 6.6738]],
  "species": ["Fe", "Fe", "As", "Pd", "Pd", "Pd", "Pd", "Pd", "Pd", "Pd", "Pd"],
  "fractional_positions": [[0.7822, 0.3456, 0.5644], [0.2178, 0.6544, 0.4356], [0.5000, 0.0000, 0.0000], [0.4028, 0.5398, 0.8057], [0.6739, 0.9254, 0.3479], [0.8404, 0.7766, 0.6807], [0.9614, 0.2482, 0.9228], [0.1596, 0.2234, 0.3193], [0.3261, 0.0746, 0.6521], [0.5972, 0.4602, 0.1943], [0.0386, 0.7518, 0.0772]]
}

{
  "formula": "La3TbDy",
  "functional": "PBE",
  "state": "optimized geometry",
  "dos_ef_per_ev_cell": 30.93,
  "dft_energy_ev_per_cell": -92.91,
  "formation_energy_ev_per_atom": 0.16,
  "cell": [[6.2245, 0.0000, 0.0000], [0.0000, 8.8912, 0.0000], [0.0000, 0.0000, 12.8296]],
  "species": ["La", "La", "La", "La", "La", "La", "La", "La", "La", "La", "La", "La", "Tb", "Tb", "Tb", "Tb", "Dy", "Dy", "Dy", "Dy"],
  "fractional_positions": [[0.5824, 0.3316, 0.4371], [0.0824, 0.3316, 0.5629], [0.6625, 0.2500, 0.7500], [0.1625, 0.2500, 0.2500], [0.5824, 0.1684, 0.0629], [0.0824, 0.1684, 0.9371], [0.9176, 0.8316, 0.0629], [0.4176, 0.8316, 0.9371], [0.8375, 0.7500, 0.7500], [0.3375, 0.7500, 0.2500], [0.9176, 0.6684, 0.4371], [0.4176, 0.6684, 0.5629], [0.7500, 0.0000, 0.2992], [0.2500, 0.0000, 0.7008], [0.2500, 0.5000, 0.7992], [0.7500, 0.5000, 0.2008], [0.2500, 0.0000, 0.4427], [0.7500, 0.0000, 0.5573], [0.2500, 0.5000, 0.0573], [0.7500, 0.5000, 0.9427]]
}

{
  "formula": "Na2UPb3S6",
  "functional": "PBE",
  "state": "optimized geometry",
  "dos_ef_per_ev_cell": 3.65,
  "e_form_raw_mev_per_atom": -938,
  "dft_energy_ev_per_cell": -61.08,
  "cell": [[7.1634, 0.0106, 0.0172], [-3.5708, 6.2100, 0.0172], [-1.1825, -2.0475, 6.8269]],
  "species": ["Na", "Na", "U", "Pb", "Pb", "Pb", "S", "S", "S", "S", "S", "S"],
  "fractional_positions": [[0.3326, 0.6674, 0.0000], [0.6674, 0.3326, 0.0000], [0.0000, 0.0000, 0.0000], [0.1657, 0.8343, 0.5000], [0.8343, 0.1657, 0.5000], [0.5000, 0.5000, 0.5000], [0.9223, 0.6160, 0.7722], [0.7718, 0.7718, 0.2459], [0.0777, 0.3840, 0.2278], [0.6160, 0.9223, 0.7722], [0.2282, 0.2282, 0.7541], [0.3840, 0.0777, 0.2278]]
}